Entry from Alexandria: a relaxed MnPtF3 crystal (PBE+U).

extended XYZ file:
```
5
Lattice="4.363 0.000 0.000 0.000 4.363 0.000 0.000 0.000 4.363" Properties=species:S:1:pos:R:3 pbc="T T T"
Mn 0.000 0.000 0.000
Pt 2.181 2.181 2.181
F 0.000 2.181 2.181
F 2.181 0.000 2.181
F 2.181 2.181 0.000
```

Results
Polymorph energy (0 for the lowest one) in meV/atom: 390
VASP energy in eV/atom: -4.59
Size of the total moment in μB per cell: 5.7
Symmetry: No. 221
V in Å³/atom: 16.61